! Rb2Sn3Cl8 | Alexandria | GGA-PBE | optimized geometry; values from VASP
&SYSTEM
  ibrav = 0, nat = 13, ntyp = 3
/
ATOMIC_SPECIES
Rb 85.47 Rb.upf
Sn 118.71 Sn.upf
Cl 35.45 Cl.upf
CELL_PARAMETERS angstrom
7.959 -4.309 0.000
7.959 4.309 0.000
-2.443 0.000 7.008
ATOMIC_POSITIONS crystal
Rb 0.229 0.229 0.166
Rb 0.771 0.771 0.834
Sn 0.242 0.758 0.500
Sn 0.500 0.500 0.000
Sn 0.758 0.242 0.500
Cl 0.107 0.107 0.452
Cl 0.166 0.620 0.108
Cl 0.380 0.834 0.892
Cl 0.393 0.393 0.598
Cl 0.607 0.607 0.402
Cl 0.620 0.166 0.108
Cl 0.834 0.380 0.892
Cl 0.893 0.893 0.548
! magnetization: 0.00 μB per formula unit
! calculated volume: 36.97 A^3/atom
! symmetry: C2/m (12)
! energy relative to the elements, uncorrected: -1.314 eV per atom
! E: -45.80 eV/cell